i | The following is a PBE calculation of an optimized crystal structure of BaCd3Hg, from Alexandria via LeMat-Bulk.

Computed properties:
N(E_F) = 2.778 states/eV/f.u.
M_tot = 0.000 μB/cell

```
data_BaCd3Hg
_chemical_formula_sum 'Ba4 Cd12 Hg4'
_cell_length_a 6.733
_cell_length_b 12.844
_cell_length_c 6.785
_cell_angle_alpha 90.00
_cell_angle_beta 90.00
_cell_angle_gamma 90.00
_space_group_name_H-M_alt 'C m c m'
_space_group_IT_number 63
_space_group_name_Hall '-C 2c 2'
loop_
_atom_site_label
_atom_site_fract_x
_atom_site_fract_y
_atom_site_fract_z
Ba1 0.000 0.249 0.250
Cd1 0.000 0.127 0.750
Cd2 0.237 0.500 0.000
Hg1 0.000 0.353 0.750
```

---

ii | The following is a PBE calculation of an optimized crystal structure of BaCd3Hg, from Alexandria via LeMat-Bulk.

Computed properties:
N(E_F) = 6.790 states/eV/f.u.
M_tot = 0.000 μB/cell

```
data_BaCd3Hg
_chemical_formula_sum 'Ba1 Cd3 Hg1'
_cell_length_a 6.917
_cell_length_b 6.917
_cell_length_c 6.917
_cell_angle_alpha 90.00
_cell_angle_beta 90.00
_cell_angle_gamma 90.00
_space_group_name_H-M_alt 'P m -3 m'
_space_group_IT_number 221
_space_group_name_Hall '-P 4 2 3'
loop_
_atom_site_label
_atom_site_fract_x
_atom_site_fract_y
_atom_site_fract_z
Ba1 0.000 0.000 0.000
Cd1 0.000 0.000 0.500
Hg1 0.500 0.500 0.500
```

---

Quick one: least stable of them? ii

---

i | The following is a PBE calculation of an optimized crystal structure of BaCd2Hg2, from Alexandria via LeMat-Bulk.

Computed properties:
N(E_F) = 2.787 states/eV/f.u.
M_tot = 0.000 μB/cell

```
data_BaCd2Hg2
_chemical_formula_sum 'Ba2 Cd4 Hg4'
_cell_length_a 5.391
_cell_length_b 5.391
_cell_length_c 10.393
_cell_angle_alpha 90.00
_cell_angle_beta 90.00
_cell_angle_gamma 90.00
_space_group_name_H-M_alt 'I 4/m m m'
_space_group_IT_number 139
_space_group_name_Hall '-I 4 2'
loop_
_atom_site_label
_atom_site_fract_x
_atom_site_fract_y
_atom_site_fract_z
Ba1 0.000 0.000 0.000
Cd1 0.000 0.000 0.366
Hg1 0.000 0.500 0.250
```

---

ii | The following is a PBE calculation of an optimized crystal structure of BaCd2Hg2, from Alexandria via LeMat-Bulk.

Computed properties:
N(E_F) = 3.300 states/eV/f.u.
M_tot = 0.000 μB/cell

```
data_BaCd2Hg2
_chemical_formula_sum 'Ba2 Cd4 Hg4'
_cell_length_a 5.226
_cell_length_b 6.560
_cell_length_c 9.367
_cell_angle_alpha 80.77
_cell_angle_beta 74.81
_cell_angle_gamma 68.21
_space_group_name_H-M_alt 'P -1'
_space_group_IT_number 2
loop_
_space_group_symop_operation_xyz
'x,y,z'
'-x,-y,-z'
loop_
_atom_site_label
_atom_site_fract_x
_atom_site_fract_y
_atom_site_fract_z
Ba1 0.183 0.359 0.284
Cd1 0.131 0.060 0.687
Cd2 0.445 0.205 0.884
Hg1 0.154 0.741 0.962
Hg2 0.400 0.744 0.445
```

---

iii | The following is a PBE calculation of an optimized crystal structure of BaCd2Hg2, from Alexandria via LeMat-Bulk.

Computed properties:
N(E_F) = 2.752 states/eV/f.u.
M_tot = 0.000 μB/cell

```
data_BaCd2Hg2
_chemical_formula_sum 'Ba2 Cd4 Hg4'
_cell_length_a 8.708
_cell_length_b 8.708
_cell_length_c 3.955
_cell_angle_alpha 90.00
_cell_angle_beta 90.00
_cell_angle_gamma 90.00
_space_group_name_H-M_alt 'P 4/m b m'
_space_group_IT_number 127
_space_group_name_Hall '-P 4 2ab'
loop_
_atom_site_label
_atom_site_fract_x
_atom_site_fract_y
_atom_site_fract_z
Ba1 0.000 0.000 0.000
Cd1 0.118 0.382 0.000
Hg1 0.181 0.681 0.500
```

---

iv | The following is a PBE calculation of an optimized crystal structure of BaCd2Hg2, from Alexandria via LeMat-Bulk.

Computed properties:
N(E_F) = 2.396 states/eV/f.u.
M_tot = 0.000 μB/cell

```
data_BaCd2Hg2
_chemical_formula_sum 'Ba2 Cd4 Hg4'
_cell_length_a 8.660
_cell_length_b 8.660
_cell_length_c 4.068
_cell_angle_alpha 90.00
_cell_angle_beta 90.00
_cell_angle_gamma 90.00
_space_group_name_H-M_alt 'P 4/m b m'
_space_group_IT_number 127
_space_group_name_Hall '-P 4 2ab'
loop_
_atom_site_label
_atom_site_fract_x
_atom_site_fract_y
_atom_site_fract_z
Ba1 0.000 0.000 0.000
Cd1 0.166 0.334 0.500
Hg1 0.126 0.626 0.000
```

---

Quick one: least stable of them? iii

---

i | The following is a PBE calculation of an optimized crystal structure of BaCd4Hg, from Alexandria via LeMat-Bulk.

Computed properties:
N(E_F) = 4.220 states/eV/f.u.
M_tot = 0.000 μB/cell

```
data_BaCd4Hg
_chemical_formula_sum 'Ba4 Cd16 Hg4'
_cell_length_a 8.778
_cell_length_b 8.778
_cell_length_c 8.778
_cell_angle_alpha 90.00
_cell_angle_beta 90.00
_cell_angle_gamma 90.00
_space_group_name_H-M_alt 'F -4 3 m'
_space_group_IT_number 216
_space_group_name_Hall 'F -4 2 3'
loop_
_atom_site_label
_atom_site_fract_x
_atom_site_fract_y
_atom_site_fract_z
Ba1 0.000 0.000 0.000
Cd1 0.124 0.124 0.624
Hg1 0.250 0.250 0.250
```

---

ii | The following is a PBE calculation of an optimized crystal structure of BaCd4Hg, from Alexandria via LeMat-Bulk.

Computed properties:
N(E_F) = 3.944 states/eV/f.u.
M_tot = 0.000 μB/cell

```
data_BaCd4Hg
_chemical_formula_sum 'Ba4 Cd16 Hg4'
_cell_length_a 4.950
_cell_length_b 17.754
_cell_length_c 7.715
_cell_angle_alpha 90.00
_cell_angle_beta 90.00
_cell_angle_gamma 90.00
_space_group_name_H-M_alt 'C m c m'
_space_group_IT_number 63
_space_group_name_Hall '-C 2c 2'
loop_
_atom_site_label
_atom_site_fract_x
_atom_site_fract_y
_atom_site_fract_z
Ba1 0.000 0.127 0.250
Cd1 0.000 0.069 0.750
Cd2 0.000 0.332 0.063
Cd3 0.000 0.500 0.000
Hg1 0.000 0.236 0.750
```

---

Quick one: least stable of them? i

---

i | The following is a PBE calculation of an optimized crystal structure of BaCdHg3, from Alexandria via LeMat-Bulk.

Computed properties:
N(E_F) = 6.159 states/eV/f.u.
M_tot = 0.000 μB/cell

```
data_BaCdHg3
_chemical_formula_sum 'Ba1 Cd1 Hg3'
_cell_length_a 6.695
_cell_length_b 6.695
_cell_length_c 6.695
_cell_angle_alpha 90.00
_cell_angle_beta 90.00
_cell_angle_gamma 90.00
_space_group_name_H-M_alt 'P m -3 m'
_space_group_IT_number 221
_space_group_name_Hall '-P 4 2 3'
loop_
_atom_site_label
_atom_site_fract_x
_atom_site_fract_y
_atom_site_fract_z
Ba1 0.000 0.000 0.000
Cd1 0.500 0.500 0.500
Hg1 0.000 0.000 0.500
```

---

ii | The following is a PBE calculation of an optimized crystal structure of BaCdHg3, from Alexandria via LeMat-Bulk.

Computed properties:
N(E_F) = 2.124 states/eV/f.u.
M_tot = 0.000 μB/cell

```
data_BaCdHg3
_chemical_formula_sum 'Ba4 Cd4 Hg12'
_cell_length_a 9.112
_cell_length_b 7.217
_cell_length_c 9.261
_cell_angle_alpha 90.00
_cell_angle_beta 104.27
_cell_angle_gamma 90.00
_space_group_name_H-M_alt 'P 1 21/c 1'
_space_group_IT_number 14
loop_
_space_group_symop_operation_xyz
'x,y,z'
'-x,-y,-z'
'-x,y+1/2,-z+1/2'
'x,-y+1/2,z+1/2'
loop_
_atom_site_label
_atom_site_fract_x
_atom_site_fract_y
_atom_site_fract_z
Ba1 0.230 0.027 0.256
Cd1 0.495 0.198 0.027
Hg1 0.016 0.701 0.020
Hg2 0.178 0.510 0.368
Hg3 0.367 0.536 0.151
```

---

Quick one: least stable of them? i

---

i | The following is a PBE calculation of an optimized crystal structure of BaCdHg3, from Alexandria via LeMat-Bulk.

Computed properties:
N(E_F) = 3.246 states/eV/f.u.
M_tot = 0.000 μB/cell

```
data_BaCdHg3
_chemical_formula_sum 'Ba4 Cd4 Hg12'
_cell_length_a 6.669
_cell_length_b 13.499
_cell_length_c 6.644
_cell_angle_alpha 90.00
_cell_angle_beta 90.00
_cell_angle_gamma 90.00
_space_group_name_H-M_alt 'I m m a'
_space_group_IT_number 74
_space_group_name_Hall '-I 2b 2'
loop_
_atom_site_label
_atom_site_fract_x
_atom_site_fract_y
_atom_site_fract_z
Ba1 0.000 0.000 0.000
Cd1 0.250 0.250 0.250
Hg1 0.000 0.109 0.488
Hg2 0.250 0.250 0.750
```

---

ii | The following is a PBE calculation of an optimized crystal structure of BaCdHg3, from Alexandria via LeMat-Bulk.

Computed properties:
N(E_F) = 2.929 states/eV/f.u.
M_tot = 0.000 μB/cell

```
data_BaCdHg3
_chemical_formula_sum 'Ba1 Cd1 Hg3'
_cell_length_a 5.575
_cell_length_b 5.575
_cell_length_c 5.575
_cell_angle_alpha 90.00
_cell_angle_beta 90.00
_cell_angle_gamma 90.00
_space_group_name_H-M_alt 'P m -3 m'
_space_group_IT_number 221
_space_group_name_Hall '-P 4 2 3'
loop_
_atom_site_label
_atom_site_fract_x
_atom_site_fract_y
_atom_site_fract_z
Ba1 0.000 0.000 0.000
Cd1 0.500 0.500 0.500
Hg1 0.000 0.500 0.500
```

---

Quick one: least stable of them? ii